Material: ErNbSi2Os
Method: DFT, PBE
State: relaxed

Calculated values
- density of states at the Fermi level (states/eV/atom) = 0.61
- raw formation energy (kJ/mol of atoms) = -58.7

a = 6.1474 Å, b = 6.1474 Å, c = 6.1474 Å
α = 141.84°, β = 141.84°, γ = 55.07°
Element x y z (fractional)
1 Er 0.0000 0.0000 0.0000
2 Nb 0.2500 0.7500 0.5000
3 Si 0.3915 0.3915 0.0000
4 Si 0.6085 0.6085 0.0000
5 Os 0.7500 0.2500 0.5000